Entry from the Alexandria database: LiTbErTe3 after structural relaxation (GGA-PBE).

## Properties
DOS at the Fermi energy	0.4647	states/eV per atom

Unit cell a=8.8429 b=4.2096 c=9.4429 alpha=90.00 beta=103.87 gamma=90.00
Last column: nearest neighbours and their distance in Å.
Space group P2_1/m (No. 11)
Inequivalent atoms, fractional coordinates:
Li1 0.0852 0.2500 0.0851  4 Te 2.73-2.77, 2 Li 2.85
Tb1 0.1872 0.2500 0.7324  7 Te 3.12-3.26
Er1 0.3325 0.7500 0.3365  6 Te 3.02-3.11
Te1 0.0901 0.2500 0.3769  1 Li 2.75
Te2 0.2373 0.7500 0.9969  3 Li 2.73-2.77
Te3 0.4247 0.7500 0.6721  3 Er 3.02-3.08, 2 Tb 3.12


Entry from the Alexandria database: AgSn2Ru after structural relaxation (GGA-PBE).

## Properties
DOS at the Fermi energy	0.7055	states/eV per atom
ΔE_f	0.85	eV per formula unit

Unit cell a=6.7409 b=6.7409 c=6.7409 alpha=90.00 beta=90.00 gamma=90.00
Last column: nearest neighbours and their distance in Å.
Space group Fm-3m (No. 225)
Inequivalent atoms, fractional coordinates:
Ag1 0.0000 0.0000 0.0000  8 Sn 2.92
Sn1 0.2500 0.2500 0.2500  4 Ag 2.92, 4 Ru 2.92
Ru1 0.0000 0.0000 0.5000  8 Sn 2.92


Entry from the Alexandria database: CePuZnSn after structural relaxation (GGA-PBE).

## Properties
DOS at the Fermi energy	3.5680	states/eV per atom
ΔE_f	-1.07	eV per formula unit

Unit cell a=7.4765 b=7.4765 c=7.4765 alpha=90.00 beta=90.00 gamma=90.00
Last column: nearest neighbours and their distance in Å.
Space group F-43m (No. 216)
Inequivalent atoms, fractional coordinates:
Ce1 0.0000 0.0000 0.0000  4 Sn 3.24, 4 Zn 3.24
Pu1 0.0000 0.0000 0.5000  4 Sn 3.24, 4 Zn 3.24
Zn1 0.2500 0.2500 0.2500  4 Ce 3.24, 4 Pu 3.24
Sn1 0.2500 0.2500 0.7500  4 Ce 3.24, 4 Pu 3.24


Entry from the Alexandria database: TaTcAu after structural relaxation (GGA-PBE).

## Properties
DOS at the Fermi energy	1.0886	states/eV per atom
ΔE_f	-0.06	eV per formula unit

Unit cell a=3.3092 b=3.3092 c=9.3488 alpha=90.00 beta=90.00 gamma=90.00
Last column: nearest neighbours and their distance in Å.
Space group I4mm (No. 107)
Inequivalent atoms, fractional coordinates:
Ta1 0.0000 0.0000 0.0000  4 Tc 2.66, 4 Au 2.88
Tc1 0.0000 0.0000 0.3642  4 Ta 2.66, 5 Au 2.91-2.94
Au1 0.0000 0.0000 0.6791  5 Ta 2.88-3.00, 5 Tc 2.91-2.94


Entry from the Alexandria database: Sm7FeI12 after structural relaxation (GGA-PBE).

## Properties
DOS at the Fermi energy	0.5311	states/eV per atom

Unit cell a=15.9116 b=15.9116 c=11.1338 alpha=90.00 beta=90.00 gamma=120.00
Last column: nearest neighbours and their distance in Å.
Space group R-3 (No. 148, hexagonal axes)
Inequivalent atoms, fractional coordinates:
Sm1 0.0000 0.0000 0.0000  6 I 3.10
Sm2 0.0419 0.8858 0.3646  1 Fe 2.69
Fe1 0.0000 0.0000 0.5000  6 Sm 2.69
I1 0.0204 0.4337 0.1590  3 Sm 3.15-3.51
I2 0.0485 0.8726 0.8353  3 Sm 3.10-3.27


Entry from the Alexandria database: LiHfRhPb after structural relaxation (GGA-PBE).

## Properties
ΔE_f	-1.87	eV per formula unit

Unit cell a=6.5337 b=6.5337 c=6.5337 alpha=90.00 beta=90.00 gamma=90.00
Last column: nearest neighbours and their distance in Å.
Space group F-43m (No. 216)
Inequivalent atoms, fractional coordinates:
Li1 0.0000 0.0000 0.0000  4 Hf 2.83, 4 Pb 2.83
Hf1 0.2500 0.2500 0.7500  4 Rh 2.83, 4 Li 2.83
Rh1 0.0000 0.0000 0.5000  4 Pb 2.83, 4 Hf 2.83
Pb1 0.2500 0.2500 0.2500  4 Li 2.83, 4 Rh 2.83


Calculated energy in order - -4.644; -4.821; -6.654; -8.519; -4.201; -6.199 eV per atom
Calculated volume in order - 28.4; 19.1; 26.1; 17.1; 40.7; 17.4 Å³ per atom